Entry w
A plane-wave DFT calculation with GGA-PBE was carried out for a geometry-optimized Sr5Rh structure.

Lattice parameters (Å, degrees): 4.2811 19.9988 6.3644 90.00 90.00 90.00
Last column: nearest neighbours and their distance in Å.
Space group Cmmm (No. 65)
One atom of each set of equivalent atoms:
Sr  0.0000  0.0000  0.0000 [2 per cell]  8 Sr 3.80-3.97, 4 Rh 3.84
Sr  0.0000  0.1041  0.5000 [4 per cell]  2 Rh 2.99
Sr  0.0000  0.3329  0.0000 [4 per cell]  10 Sr 3.95-4.28
Rh  0.0000  0.5000  0.5000 [2 per cell]  4 Sr 2.99

---

Entry x
A plane-wave DFT calculation with GGA-PBE was carried out for a geometry-optimized Sr5Rh structure.

Lattice parameters (Å, degrees): 6.9466 6.9466 6.9281 90.00 90.00 120.00
Last column: nearest neighbours and their distance in Å.
Space group P6/mmm (No. 191)
One atom of each set of equivalent atoms:
Sr  0.0000  0.5000  0.0000 [3 per cell]  4 Sr 3.47
Sr  0.3333  0.6667  0.5000 [2 per cell]  9 Sr 4.00-4.01, 3 Rh 4.01
Rh  0.0000  0.0000  0.5000 [1 per cell]  6 Sr 4.01

---

Name the least stable of them. entry x.

---

Entry w
A plane-wave DFT calculation with GGA-PBE was carried out for a geometry-optimized Sr5Rh structure.

Lattice parameters (Å, degrees): 11.7244 4.4995 9.8383 90.00 90.00 90.00
Last column: nearest neighbours and their distance in Å.
Space group Pmma (No. 51)
One atom of each set of equivalent atoms:
Sr  0.0000  0.0000  0.0000 [2 per cell]  2 Rh 3.42, 4 Sr 3.71
Sr  0.0878  0.5000  0.3088 [4 per cell]  2 Rh 3.21
Sr  0.2500  0.0000  0.6081 [2 per cell]  12 Sr 4.16-4.63, 1 Rh 4.22
Sr  0.2500  0.5000  0.9658 [2 per cell]  2 Rh 3.08
Rh  0.2500  0.0000  0.1792 [2 per cell]  8 Sr 3.08-3.42

---

Entry x
A plane-wave DFT calculation with GGA-PBE was carried out for a geometry-optimized Sr5Rh structure.

Lattice parameters (Å, degrees): 3.8952 3.8952 16.7376 90.00 90.00 90.00
Last column: nearest neighbours and their distance in Å.
Space group P4/mmm (No. 123)
One atom of each set of equivalent atoms:
Sr  0.0000  0.0000  0.0000 [1 per cell]  12 Sr 3.90-4.26
Sr  0.0000  0.0000  0.3990 [2 per cell]  4 Rh 3.23, 1 Sr 3.38
Sr  0.5000  0.5000  0.1944 [2 per cell]  8 Sr 3.90-4.26
Rh  0.5000  0.5000  0.5000 [1 per cell]  8 Sr 3.23

---

Name the least stable of them. entry x.

---

Entry w
A plane-wave DFT calculation with GGA-PBE was carried out for a geometry-optimized Sr3Rh2 structure.

Lattice parameters (Å, degrees): 4.5686 15.1743 4.6987 90.00 90.00 90.00
Last column: nearest neighbours and their distance in Å.
Space group Cmmm (No. 65)
One atom of each set of equivalent atoms:
Sr  0.0000  0.0000  0.0000 [2 per cell]  2 Rh 3.29
Sr  0.0000  0.3449  0.5000 [4 per cell]  6 Rh 3.05-3.41
Rh  0.0000  0.2168  0.0000 [4 per cell]  2 Rh 2.50

---

Entry x
A plane-wave DFT calculation with GGA-PBE was carried out for a geometry-optimized Sr3Rh2 structure.

Lattice parameters (Å, degrees): 5.2445 5.2445 17.3872 90.00 90.00 120.00
Last column: nearest neighbours and their distance in Å.
Space group R-3m (No. 166, hexagonal axes)
One atom of each set of equivalent atoms:
Sr  0.0000  0.0000  0.0000 [3 per cell]  6 Rh 3.42, 6 Sr 3.55
Sr  0.0000  0.0000  0.2263 [6 per cell]  3 Rh 3.04
Rh  0.0000  0.0000  0.4253 [6 per cell]  1 Rh 2.60

---

Name the least stable of them. entry x.